PBE+U PaMn3Cu4O12, relaxed; mass density = 6784 kg/m³; uncorrected energy = -134.31 eV for the cell shown
1.0
-4.414 -3.046 3.574
3.564 -4.336 -3.167
3.804 3.525 3.827
O Cu Mn Pa
12 4 3 1
direct
0.702 0.170 0.872 O
0.298 0.170 0.468 O
0.298 0.830 0.128 O
0.872 0.702 0.170 O
0.830 0.128 0.298 O
0.128 0.298 0.830 O
0.170 0.872 0.702 O
0.830 0.532 0.702 O
0.468 0.298 0.170 O
0.702 0.830 0.532 O
0.532 0.702 0.830 O
0.170 0.468 0.298 O
0.000 0.000 0.500 Cu
0.500 0.500 0.500 Cu
0.000 0.500 0.000 Cu
0.500 0.000 0.000 Cu
0.000 0.500 0.500 Mn
0.500 0.000 0.500 Mn
0.500 0.500 0.000 Mn
0.000 0.000 0.000 Pa